La5Mo4: optimized geometry, GGA-PBE.

Cell lengths 8.785, 8.785, 6.669 Å; angles 90.00, 90.00, 60.00 degrees
Each line ends with the local moment (μB).
Fractional positions:
Mo1 0.000 0.000 0.000  -0.18
Mo2 0.000 0.000 0.500  -0.18
Mo3 0.643 0.357 0.250  0.48
Mo4 0.000 0.643 0.250  0.48
Mo5 0.357 0.000 0.250  0.48
Mo6 0.357 0.643 0.750  0.48
Mo7 0.000 0.357 0.750  0.48
Mo8 0.643 0.000 0.750  0.48
La1 0.283 0.717 0.250  0.00
La2 0.000 0.283 0.250  0.00
La3 0.717 0.000 0.250  0.00
La4 0.717 0.283 0.750  0.00
La5 0.000 0.717 0.750  0.00
La6 0.283 0.000 0.750  0.00
La7 0.333 0.333 0.000  -0.02
La8 0.667 0.667 0.500  -0.02
La9 0.667 0.667 0.000  -0.02
La10 0.333 0.333 0.500  -0.02

Computed properties:
Its formation energy is 728.4 meV per atom. The calculation puts the polymorph energy (0 for the lowest one) at 243 meV per atom. Its density of states at the Fermi level is 1.541 states/eV/atom.

---

Cs3Ge5F12: optimized geometry, GGA-PBE.

Cell lengths 13.075, 13.075, 13.075 Å; angles 109.47, 109.47, 109.47 degrees
Fractional positions:
Cs1 0.750 0.375 0.125
Cs2 0.875 0.750 0.125
Cs3 0.375 0.750 0.625
Cs4 0.250 0.125 0.375
Cs5 0.875 0.125 0.250
Cs6 0.375 0.625 0.250
Cs7 0.625 0.375 0.750
Cs8 0.125 0.875 0.750
Cs9 0.750 0.875 0.625
Cs10 0.625 0.250 0.375
Cs11 0.125 0.250 0.875
Cs12 0.250 0.625 0.875
Ge1 0.125 0.375 0.250
Ge2 0.000 0.500 0.000
Ge3 0.000 0.000 0.000
Ge4 0.375 0.250 0.125
Ge5 0.500 0.000 0.500
Ge6 0.500 0.500 0.000
Ge7 0.125 0.750 0.375
Ge8 0.750 0.125 0.875
Ge9 0.750 0.625 0.375
Ge10 0.375 0.125 0.750
Ge11 0.625 0.875 0.250
Ge12 0.500 0.500 0.500
Ge13 0.500 0.000 0.000
Ge14 0.000 0.000 0.500
Ge15 0.250 0.375 0.625
Ge16 0.250 0.875 0.125
Ge17 0.000 0.500 0.500
Ge18 0.875 0.250 0.625
Ge19 0.625 0.750 0.875
Ge20 0.875 0.625 0.750
F1 0.684 0.105 0.004
F2 0.319 0.504 0.399
F3 0.996 0.395 0.316
F4 0.504 0.184 0.105
F5 0.580 0.684 0.681
F6 0.996 0.601 0.181
F7 0.319 0.816 0.420
F8 0.101 0.920 0.105
F9 0.601 0.996 0.681
F10 0.684 0.580 0.181
F11 0.816 0.496 0.395
F12 0.819 0.899 0.004
F13 0.105 0.684 0.504
F14 0.395 0.399 0.080
F15 0.080 0.899 0.395
F16 0.420 0.105 0.601
F17 0.080 0.181 0.184
F18 0.496 0.681 0.101
F19 0.819 0.920 0.316
F20 0.105 0.420 0.101
F21 0.395 0.996 0.816
F22 0.601 0.605 0.420
F23 0.899 0.819 0.504
F24 0.816 0.319 0.920
F25 0.399 0.395 0.580
F26 0.101 0.181 0.496
F27 0.184 0.681 0.080
F28 0.181 0.080 0.684
F29 0.605 0.004 0.184
F30 0.895 0.580 0.899
F31 0.504 0.319 0.899
F32 0.580 0.895 0.399
F33 0.920 0.819 0.816
F34 0.920 0.101 0.605
F35 0.895 0.316 0.496
F36 0.181 0.101 0.996
F37 0.605 0.601 0.920
F38 0.399 0.004 0.319
F39 0.316 0.420 0.819
F40 0.184 0.504 0.605
F41 0.899 0.080 0.895
F42 0.681 0.184 0.580
F43 0.496 0.816 0.895
F44 0.004 0.399 0.819
F45 0.420 0.316 0.319
F46 0.004 0.605 0.684
F47 0.681 0.496 0.601
F48 0.316 0.895 0.996

Computed properties:
For the uncorrected formation energy, the calculation gives -2.043 eV/atom. Its density of states at the Fermi level is 0.389 states/eV/atom.

---

Sr2MgAlTe5: optimized geometry, GGA-PBE.

Cell lengths 4.322, 10.321, 13.486 Å; angles 90.00, 90.00, 102.09 degrees
Fractional positions:
Sr1 0.880 0.760 0.815
Sr2 0.121 0.242 0.686
Sr3 0.120 0.240 0.315
Sr4 0.879 0.758 0.186
Mg1 0.782 0.565 0.526
Mg2 0.218 0.435 0.026
Al1 0.573 0.147 0.935
Al2 0.427 0.853 0.435
Te1 0.358 0.717 0.003
Te2 0.697 0.395 0.867
Te3 0.505 0.010 0.772
Te4 0.294 0.588 0.671
Te5 0.945 0.890 0.549
Te6 0.642 0.283 0.503
Te7 0.303 0.605 0.367
Te8 0.495 0.990 0.272
Te9 0.706 0.412 0.171
Te10 0.055 0.110 0.049

Computed properties:
For the uncorrected formation energy, the calculation gives -1.008 eV/atom. Its density of states at the Fermi level is 0.486 states/eV/atom.

---

Ho2TmTl: optimized geometry, GGA-PBE.

Cell lengths 4.826, 4.811, 4.811 Å; angles 90.00, 90.00, 90.00 degrees
Each line ends with the local moment (μB).
Fractional positions:
Tl1 0.500 0.000 0.000  -0.01
Tm1 0.500 0.500 0.500  0.17
Ho1 0.000 0.000 0.500  0.17
Ho2 0.000 0.500 0.000  0.17

Computed properties:
Its formation energy is -168.4 meV per atom. The calculation puts the polymorph energy (0 for the lowest one) at 0 meV per atom. Its density of states at the Fermi level is 1.346 states/eV/atom.

---

CrIr2Au: optimized geometry, GGA-PBE.

Cell lengths 2.788, 3.830, 5.633 Å; angles 90.00, 90.00, 90.00 degrees
Each line ends with the local moment (μB).
Fractional positions:
Au1 0.000 0.000 0.505  -0.01
Cr1 0.500 0.500 0.773  2.27
Ir1 0.000 0.000 0.992  -0.31
Ir2 0.500 0.500 0.230  -0.22

Computed properties:
Its formation energy is 156.3 meV per atom. The calculation puts the polymorph energy (0 for the lowest one) at 132 meV per atom. Its density of states at the Fermi level is 1.158 states/eV/atom.

---

TlGaHBr2: optimized geometry, GGA-PBE.

Cell lengths 5.740, 5.740, 3.750 Å; angles 90.00, 90.00, 90.00 degrees
Fractional positions:
H1 0.000 0.000 0.500
Tl1 0.500 0.500 0.500
Ga1 0.000 0.000 0.000
Br1 0.000 0.500 0.000
Br2 0.500 0.000 0.000

Computed properties:
The calculation puts the polymorph energy (0 for the lowest one) at 0 meV per atom. Its density of states at the Fermi level is 0.257 states/eV/atom.

---

EuAgAu: optimized geometry, GGA-PBE.

Cell lengths 3.734, 4.793, 4.793 Å; angles 120.00, 90.00, 90.00 degrees
Each line ends with the local moment (μB).
Fractional positions:
Eu1 0.667 0.667 0.333  6.85
Au1 0.167 0.333 0.667  0.00
Ag1 0.167 0.000 0.000  0.01

Computed properties:
Its formation energy is -537.5 meV per atom. The calculation puts the polymorph energy (0 for the lowest one) at 0 meV per atom. Its density of states at the Fermi level is 3.107 states/eV/atom.

---

Cs2Si2Au5: optimized geometry, GGA-PBE.

Cell lengths 4.717, 7.177, 8.591 Å; angles 104.67, 90.00, 109.19 degrees
Fractional positions:
Cs1 0.374 0.748 0.683
Cs2 0.626 0.252 0.317
Si1 0.161 0.323 0.926
Si2 0.839 0.677 0.074
Au1 0.320 0.640 0.157
Au2 0.680 0.360 0.843
Au3 0.077 0.153 0.636
Au4 0.923 0.847 0.364
Au5 0.000 0.000 0.000

Computed properties:
For the uncorrected formation energy, the calculation gives -0.220 eV/atom. Its density of states at the Fermi level is 0.275 states/eV/atom.

---

ScInMo: optimized geometry, GGA-PBE.

Cell lengths 4.662, 4.662, 4.662 Å; angles 60.00, 60.00, 60.00 degrees
Each line ends with the local moment (μB).
Fractional positions:
In1 0.500 0.500 0.500  -0.06
Mo1 0.750 0.750 0.750  1.51
Sc1 0.000 0.000 0.000  0.24

Computed properties:
Its formation energy is 639.3 meV per atom. The calculation puts the polymorph energy (0 for the lowest one) at 588 meV per atom. Its density of states at the Fermi level is 1.382 states/eV/atom.

---

Ta2Co4Cu: optimized geometry, GGA-PBE.

Cell lengths 3.373, 3.373, 8.502 Å; angles 101.44, 101.44, 90.00 degrees
Each line ends with the local moment (μB).
Fractional positions:
Co1 0.146 0.146 0.293  0.15
Co2 0.854 0.854 0.707  0.15
Co3 0.750 0.250 0.500  1.20
Co4 0.250 0.750 0.500  1.20
Cu1 0.000 0.000 0.000  0.01
Ta1 0.598 0.598 0.195  -0.10
Ta2 0.402 0.402 0.805  -0.10

Computed properties:
Its formation energy is 43.5 meV per atom. Its density of states at the Fermi level is 0.936 states/eV/atom.

---

La2YMnAu: optimized geometry, GGA-PBE.

Cell lengths 5.757, 4.873, 5.757 Å; angles 90.00, 90.00, 90.00 degrees
Each line ends with the local moment (μB).
Fractional positions:
Y1 0.500 0.500 0.500  -0.04
Mn1 0.000 0.500 0.000  0.03
Au1 0.000 0.000 0.000  0.02
La1 0.000 0.000 0.500  -0.02
La2 0.500 0.000 0.000  -0.05

Computed properties:
Its formation energy is 566.8 meV per atom. Its density of states at the Fermi level is 1.549 states/eV/atom.

---

H4AuBr3N: optimized geometry, GGA-PBE.

Cell lengths 7.221, 9.215, 14.443 Å; angles 96.82, 122.95, 91.25 degrees
Fractional positions:
Br1 0.595 0.176 0.082
Br2 0.404 0.730 0.826
Br3 0.492 0.014 0.369
Br4 0.708 0.495 0.622
Br5 0.265 0.671 0.058
Br6 0.670 0.308 0.885
Br7 0.854 0.525 0.403
Br8 0.394 0.905 0.568
Br9 0.200 0.218 0.148
Br10 0.915 0.029 0.815
Br11 0.892 0.975 0.305
Br12 0.164 0.197 0.630
Au1 0.559 0.596 0.230
Au2 0.556 0.612 0.725
Au3 0.545 0.095 0.226
Au4 0.536 0.110 0.724
N1 0.886 0.879 0.063
N2 0.904 0.832 0.582
N3 0.214 0.315 0.391
N4 0.163 0.390 0.859
H1 0.940 0.983 0.061
H2 0.733 0.841 0.989
H3 0.870 0.888 0.131
H4 0.003 0.808 0.073
H5 0.849 0.725 0.577
H6 0.920 0.895 0.651
H7 0.790 0.875 0.511
H8 0.054 0.835 0.590
H9 0.368 0.357 0.462
H10 0.221 0.302 0.321
H11 0.096 0.385 0.383
H12 0.167 0.212 0.399
H13 0.202 0.468 0.926
H14 0.301 0.378 0.855
H15 0.037 0.423 0.785
H16 0.108 0.289 0.866

Computed properties:
The calculation puts the polymorph energy (0 for the lowest one) at 7 meV per atom.

---

AlCd3Pd: optimized geometry, GGA-PBE.

Cell lengths 5.177, 5.177, 5.177 Å; angles 90.00, 90.00, 90.00 degrees
Fractional positions:
Al1 0.500 0.500 0.500
Pd1 0.000 0.000 0.000
Cd1 0.000 0.500 0.000
Cd2 0.000 0.000 0.500
Cd3 0.500 0.000 0.000

Computed properties:
Its formation energy is 258.6 meV per atom. The calculation puts the polymorph energy (0 for the lowest one) at 0 meV per atom. Its density of states at the Fermi level is 0.484 states/eV/atom.

---

TbCe2Nd: optimized geometry, GGA-PBE.

Cell lengths 3.512, 3.512, 11.856 Å; angles 81.48, 81.48, 60.00 degrees
Each line ends with the local moment (μB).
Fractional positions:
Nd1 0.500 0.500 0.500  0.01
Tb1 0.000 0.000 0.000  0.01
Ce1 0.749 0.749 0.753  0.64
Ce2 0.251 0.251 0.247  0.64

Computed properties:
Its formation energy is 104.8 meV per atom. The calculation puts the polymorph energy (0 for the lowest one) at 0 meV per atom. Its density of states at the Fermi level is 2.696 states/eV/atom.

---

GaPd2Au8: optimized geometry, GGA-PBE.

Cell lengths 4.935, 6.851, 6.851 Å; angles 83.90, 76.16, 76.16 degrees
Fractional positions:
Ga1 0.000 0.000 0.000
Pd1 0.493 0.138 0.138
Pd2 0.507 0.862 0.862
Au1 0.800 0.155 0.680
Au2 0.200 0.320 0.845
Au3 0.905 0.273 0.273
Au4 0.095 0.727 0.727
Au5 0.800 0.680 0.155
Au6 0.200 0.845 0.320
Au7 0.303 0.424 0.424
Au8 0.697 0.576 0.576

Computed properties:
Its formation energy is 53.4 meV per atom. Its density of states at the Fermi level is 0.443 states/eV/atom.

---

Pr6Tl5Pb: optimized geometry, GGA-PBE.

Cell lengths 9.612, 5.579, 8.839 Å; angles 71.60, 79.45, 54.54 degrees
Fractional positions:
Pr1 0.748 0.086 0.332
Pr2 0.252 0.582 0.332
Pr3 0.249 0.251 0.000
Pr4 0.751 0.749 0.000
Pr5 0.748 0.418 0.668
Pr6 0.252 0.914 0.668
Tl1 0.500 0.166 0.668
Tl2 0.000 0.329 0.341
Tl3 0.500 0.500 0.000
Tl4 0.000 0.671 0.659
Tl5 0.500 0.834 0.332
Pb1 0.000 0.000 0.000

Computed properties:
Its formation energy is -416.2 meV per atom. Its density of states at the Fermi level is 0.427 states/eV/atom.

---

NaYBiRh2: optimized geometry, GGA-PBE.

Cell lengths 4.944, 5.354, 4.944 Å; angles 90.00, 90.00, 90.00 degrees
Fractional positions:
Y1 0.000 0.000 0.000
Na1 0.000 0.500 0.000
Rh1 0.000 0.000 0.500
Rh2 0.500 0.000 0.000
Bi1 0.500 0.500 0.500

Computed properties:
Its formation energy is 692.9 meV per atom. Its density of states at the Fermi level is 0.799 states/eV/atom.

---

HfAg3Te: optimized geometry, GGA-PBE.

Cell lengths 5.187, 5.187, 5.187 Å; angles 90.00, 90.00, 90.00 degrees
Fractional positions:
Te1 0.000 0.000 0.000
Hf1 0.500 0.500 0.500
Ag1 0.000 0.500 0.000
Ag2 0.000 0.000 0.500
Ag3 0.500 0.000 0.000

Computed properties:
For the uncorrected formation energy, the calculation gives 1.059 eV/atom. The calculation puts the polymorph energy (0 for the lowest one) at 0 meV per atom. Its density of states at the Fermi level is 1.142 states/eV/atom.

---

KNaPCl2: optimized geometry, GGA-PBE.

Cell lengths 5.912, 5.912, 5.964 Å; angles 90.00, 90.00, 90.00 degrees
Each line ends with the local moment (μB).
Fractional positions:
P1 0.000 0.000 0.500  1.17
K1 0.000 0.000 0.000  0.03
Na1 0.500 0.500 0.500  0.00
Cl1 0.000 0.500 0.000  0.09
Cl2 0.500 0.000 0.000  0.09

Computed properties:
For the uncorrected formation energy, the calculation gives -0.323 eV/atom. The calculation puts the polymorph energy (0 for the lowest one) at 268 meV per atom.

---

CeDy2PaP4: optimized geometry, GGA-PBE.

Cell lengths 4.017, 6.961, 6.926 Å; angles 109.51, 90.00, 90.00 degrees
Each line ends with the local moment (μB).
Fractional positions:
Ce1 0.000 0.000 0.000  0.37
Dy1 0.500 0.000 0.500  0.00
Dy2 0.000 0.500 0.500  0.01
Pa1 0.500 0.500 0.000  0.07
P1 0.500 0.255 0.250  -0.01
P2 0.500 0.745 0.750  -0.01
P3 0.000 0.256 0.752  0.00
P4 0.000 0.744 0.248  0.00

Computed properties:
Its formation energy is -1510.8 meV per atom. Its density of states at the Fermi level is 1.052 states/eV/atom.